Density functional theory data (PBE) for an optimized crystal structure of CeNd5Cd4.

Cell lengths 3.786, 3.786, 20.393 Å; angles 90.00, 90.00, 90.00 degrees
Atoms (fractional coordinates):
1 Ce 0.000 0.000 0.000
2 Nd 0.500 0.500 0.112
3 Nd 0.500 0.500 0.308
4 Nd 0.500 0.500 0.500
5 Nd 0.500 0.500 0.692
6 Nd 0.500 0.500 0.888
7 Cd 0.000 0.000 0.208
8 Cd 0.000 0.000 0.405
9 Cd 0.000 0.000 0.595
10 Cd 0.000 0.000 0.792

Output
VASP energy = -3.573 eV per atom
crystal system = tetragonal
formation enthalpy at 0 K = -229 meV per atom